First-principles (PBE) data for an optimized crystal structure of K2Ba6Na3Ir, as listed in Alexandria.

Properties
theoretical density = 2.7 g cm⁻³
total moment = 0.00 μB per formula unit
formation enthalpy at 0 K = 3.0 meV/atom
calculated volume = 58.99 Å³ per atom
total energy = -2.2094 eV/atom

a b c (Å): 20.9491 8.5413 7.9453
angles (deg): 90.00 95.25 90.00
Closest atoms and distances in Å follow each position.
Space group C2/m (No. 12)
Inequivalent atoms, fractional coordinates:
1 K 0.2102 0.0000 0.0863 x4  3 Na 3.94-4.39
2 Ba 0.0840 0.2531 0.6715 x8  1 Ir 2.99
3 Ba 0.0885 0.5000 0.2031 x4  1 Ir 3.13
4 Na 0.0000 0.0000 0.0000 x2  4 Ba 3.93, 2 K 4.39
5 Na 0.2500 0.2500 0.5000 x4  2 Ba 3.85, 2 K 3.94, 2 Na 4.27
6 Ir 0.0000 0.5000 0.5000 x2  6 Ba 2.99-3.13